{"formula": "Sr2AcSn6", "functional": "PBE", "state": "relaxed", "lattice_angstrom": [[5.642, 0.246, 0.430], [0.002, 5.755, -3.319], [0.560, 1.154, 8.651]], "species": ["Sr", "Sr", "Sn", "Sn", "Sn", "Sn", "Sn", "Sn", "Ac"], "frac_coords": [[0.869, 0.692, 0.384], [0.131, 0.308, 0.616], [0.589, 0.636, 0.807], [0.589, 0.171, 0.807], [0.316, 0.806, 0.612], [0.684, 0.194, 0.388], [0.411, 0.364, 0.193], [0.411, 0.829, 0.193], [0.000, 0.000, 0.000]], "crystal_system": "monoclinic", "ef_ev_per_atom": -0.447, "magnetic_moment_mub_per_fu": 0.000, "dos_ef_per_ev_atom": 0.428, "spacegroup": "C2/m, No. 12", "volume_a3_per_cell": 301}